! BaSiSe | the Alexandria database | GGA-PBE | relaxed; values from VASP
! - uncorrected energy (Ry per atom) = -0.3101
! - uncorrected formation energy (kJ/mol of atoms) = -58.7
! - energy above the most stable polymorph in this dataset (eV/atom) = 0.0000
&SYSTEM
  ibrav = 0, nat = 3, ntyp = 3
/
ATOMIC_SPECIES
Si 28.09 Si.upf
Ba 137.33 Ba.upf
Se 78.96 Se.upf
ATOMIC_POSITIONS angstrom
Si 0.0000 2.6714 2.4893
Ba 0.0000 0.0000 4.7062
Se 2.3135 1.3357 2.2220
CELL_PARAMETERS angstrom
4.6270 0.0000 0.0000
-2.3135 4.0071 0.0000
0.0000 0.0000 4.7088